[1]
A geometry-optimized Sm2PH structure. Source: Alexandria, functional GGA-PBE.

Cell: 7.005 7.005 7.005 Å, 31.87 31.87 31.87°
Fractional coordinates of all 4 atoms:
Sm  0.000  0.000  0.000
Sm  0.168  0.168  0.168
P  0.583  0.583  0.583
H  0.407  0.407  0.407

Values from the calculation:
SG: R3m
Crystal system: trigonal
Excess energy over the best structure of this formula in the dataset (meV per atom): 119


[2]
A geometry-optimized Pm2Al5Zn12 structure. Source: Alexandria, functional GGA-PBE.

Cell: 6.902 6.902 6.902 Å, 82.93 82.93 82.93°
Fractional coordinates of all 19 atoms:
Pm  0.167  0.167  0.167
Pm  0.833  0.833  0.833
Al  0.000  0.500  0.500
Al  0.401  0.401  0.401
Al  0.500  0.000  0.500
Al  0.500  0.500  0.000
Al  0.599  0.599  0.599
Zn  0.147  0.147  0.663
Zn  0.147  0.663  0.147
Zn  0.200  0.500  0.800
Zn  0.200  0.800  0.500
Zn  0.337  0.853  0.853
Zn  0.500  0.200  0.800
Zn  0.500  0.800  0.200
Zn  0.663  0.147  0.147
Zn  0.800  0.200  0.500
Zn  0.800  0.500  0.200
Zn  0.853  0.337  0.853
Zn  0.853  0.853  0.337

Values from the calculation:
SG: R-3m
Crystal system: trigonal
E_tot (eV per cell): -47.50


[3]
A geometry-optimized ZrTi2GaPt structure. Source: Alexandria, functional GGA-PBE.

Cell: 4.687 4.687 4.986 Å, 90.00 90.00 90.00°
Fractional coordinates of all 5 atoms:
Zr  0.000  0.000  0.000
Ti  0.000  0.500  0.000
Ti  0.500  0.000  0.000
Ga  0.000  0.000  0.500
Pt  0.500  0.500  0.500

Values from the calculation:
SG: P4/mmm
Crystal system: tetragonal
E_tot (eV per cell): -28.06


[4]
A geometry-optimized V3ZnBi structure. Source: Alexandria, functional GGA-PBE.

Cell: 5.222 5.222 5.222 Å, 90.00 90.00 90.00°
Fractional coordinates of all 5 atoms:
V  0.000  0.000  0.500
V  0.000  0.500  0.000
V  0.500  0.000  0.000
Zn  0.500  0.500  0.500
Bi  0.000  0.000  0.000

Values from the calculation:
SG: Pm-3m
Crystal system: cubic
Excess energy over the best structure of this formula in the dataset (meV per atom): 635


[5]
A geometry-optimized Ba2ReSi structure. Source: Alexandria, functional GGA-PBE.

Cell: 4.241 6.582 6.582 Å, 44.33 90.00 90.00°
Fractional coordinates of all 4 atoms:
Ba  0.000  0.000  0.000
Ba  0.500  0.283  0.283
Re  0.000  0.686  0.686
Si  0.500  0.594  0.594

Values from the calculation:
SG: Amm2
Crystal system: orthorhombic
E_tot (eV per cell): -20.70


[6]
A geometry-optimized KTl2ZnBi structure. Source: Alexandria, functional GGA-PBE.

Cell: 5.551 5.551 5.674 Å, 90.00 90.00 90.00°
Fractional coordinates of all 5 atoms:
K  0.000  0.000  0.000
Tl  0.000  0.500  0.500
Tl  0.500  0.000  0.500
Zn  0.500  0.500  0.500
Bi  0.500  0.500  0.000

Values from the calculation:
SG: P4/mmm
Crystal system: tetragonal
E_tot (eV per cell): -10.91


For reference, total magnetic moment by record: 0.000, 0.000, 0.002, 10.250, 0.000, 0.000 μB/f.u..
For reference, V by record: 85.1, 321.9, 109.5, 142.4, 128.4, 174.8 Å³/cell.